[1]
First-principles (PBE) data for a geometry-optimized TbPmGaRh structure, as listed in the Alexandria database.

- SG = Amm2, No. 38
- formation energy from the elements (eV/f.u.) = -2.8
- magnetization (μB/atom) = 0.00
- energy above the lowest structure with this stoichiometry (meV/atom) = 0

Structure (CIF):
```
data_TbPmGaRh
_space_group_name_H-M_alt 'P 1'
_space_group_IT_number 1
_space_group_name_Hall 'P 1'
_cell_length_a 4.3226
_cell_length_b 3.9489
_cell_length_c 5.9322
_cell_angle_alpha 90.00
_cell_angle_beta 111.37
_cell_angle_gamma 90.00
loop_
_atom_site_label
_atom_site_fract_x
_atom_site_fract_y
_atom_site_fract_z
_atom_site_occupancy
Rh1 0.4145 0.0000 0.8290 1
Tb1 0.8661 0.5000 0.7322 1
Pm1 0.1519 0.0000 0.3037 1
Ga1 0.5676 0.5000 0.1351 1
```

=====

[2]
First-principles (PBE) data for a geometry-optimized SrZn2W structure, as listed in the Alexandria database.

- SG = Cmmm, No. 65
- formation energy from the elements (eV/f.u.) = 2.2
- magnetization (μB/atom) = 0.00
- energy above the lowest structure with this stoichiometry (meV/atom) = 186

Structure (CIF):
```
data_SrZn2W
_space_group_name_H-M_alt 'P 1'
_space_group_IT_number 1
_space_group_name_Hall 'P 1'
_cell_length_a 5.1168
_cell_length_b 5.1168
_cell_length_c 2.8946
_cell_angle_alpha 90.02
_cell_angle_beta 90.02
_cell_angle_gamma 97.76
loop_
_atom_site_label
_atom_site_fract_x
_atom_site_fract_y
_atom_site_fract_z
_atom_site_occupancy
Zn1 0.5000 0.5000 0.0000 1
Zn2 0.0000 0.0000 0.0000 1
Sr1 0.5000 0.0000 0.5000 1
W1 0.0000 0.5000 0.5000 1
```

=====

[3]
First-principles (PBE) data for a geometry-optimized ZnBi2CS structure, as listed in the Alexandria database.

- SG = P4/mmm, No. 123
- magnetization (μB/atom) = 0.00
- ΔE_f (raw) (meV per atom) = 908

Structure (CIF):
```
data_ZnBi2CS
_space_group_name_H-M_alt 'P 1'
_space_group_IT_number 1
_space_group_name_Hall 'P 1'
_cell_length_a 5.2120
_cell_length_b 3.8659
_cell_length_c 5.2120
_cell_angle_alpha 90.00
_cell_angle_beta 90.00
_cell_angle_gamma 90.00
loop_
_atom_site_label
_atom_site_fract_x
_atom_site_fract_y
_atom_site_fract_z
_atom_site_occupancy
Zn1 0.5000 0.5000 0.5000 1
Bi1 0.5000 0.0000 0.0000 1
S1 0.0000 0.5000 0.0000 1
C1 0.0000 0.0000 0.0000 1
Bi2 0.0000 0.0000 0.5000 1
```

=====

[4]
First-principles (PBE) data for a geometry-optimized PmGdInSb structure, as listed in the Alexandria database.

- SG = F-43m, No. 216
- magnetization (μB/atom) = 1.86
- ΔE_f (raw) (meV per atom) = -591

Structure (CIF):
```
data_PmGdInSb
_space_group_name_H-M_alt 'P 1'
_space_group_IT_number 1
_space_group_name_Hall 'P 1'
_cell_length_a 5.4296
_cell_length_b 5.4296
_cell_length_c 5.4296
_cell_angle_alpha 60.00
_cell_angle_beta 60.00
_cell_angle_gamma 60.00
loop_
_atom_site_label
_atom_site_fract_x
_atom_site_fract_y
_atom_site_fract_z
_atom_site_occupancy
Sb1 0.2500 0.2500 0.2500 1
In1 0.7500 0.7500 0.7500 1
Gd1 0.0000 0.0000 0.0000 1
Pm1 0.5000 0.5000 0.5000 1
```

=====

In the order shown, the computed final energy values come out to -5.64 -3.74 -3.57 -7.01 eV/atom.